1.
VASP calculation (PBE) on a relaxed Cs3ZrTe3 crystal.

## Properties
* calculated volume: 50.2 Å³ per atom
* raw formation energy: -7.18 eV per formula unit
* symmetry: No. 14

```
Cs3ZrTe3
1.0
9.4436 -0.0586 0.0000
-1.9986 9.6942 0.0000
0.0000 0.0000 15.3673
Cs Zr Te
12 4 12
direct
0.7549 0.3965 0.9327
0.7451 0.1035 0.4327
0.2451 0.6035 0.0673
0.2549 0.8965 0.5673
0.8834 0.4827 0.6407
0.6166 0.0173 0.1407
0.1166 0.5173 0.3593
0.3834 0.9827 0.8593
0.2994 0.4204 0.8110
0.2006 0.0796 0.3110
0.7006 0.5796 0.1890
0.7994 0.9204 0.6890
0.4152 0.3588 0.5510
0.0848 0.1412 0.0510
0.5848 0.6412 0.4490
0.9152 0.8588 0.9490
0.0248 0.8701 0.1206
0.4752 0.6299 0.6206
0.9752 0.1299 0.8794
0.5248 0.3701 0.3794
0.3820 0.2541 0.0431
0.1180 0.2459 0.5431
0.6180 0.7459 0.9569
0.8820 0.7541 0.4569
0.5522 0.1950 0.6587
0.9478 0.3050 0.1587
0.4478 0.8050 0.3413
0.0522 0.6950 0.8413
```

---

2.
VASP calculation (PBE) on a relaxed PBrO crystal.

## Properties
* calculated volume: 22.9 Å³ per atom
* raw formation energy: -1.74 eV per formula unit
* D(E_F): 1.9 states/eV per cell
* symmetry: No. 12

```
PBrO
1.0
2.6989 0.0000 0.0000
1.3494 6.7615 0.3952
1.3494 2.8691 7.7073
O P Br
2 2 2
direct
0.4417 0.8986 0.2181
0.5583 0.1014 0.7819
0.0883 0.9474 0.8760
0.9117 0.0526 0.1240
0.8174 0.6434 0.7217
0.1826 0.3566 0.2783
```

---

3.
VASP calculation (PBE) on a relaxed Tb2Sm3Ga4 crystal.

## Properties
* calculated volume: 26.2 Å³ per atom
* D(E_F): 7.3 states/eV per cell
* symmetry: No. 12
* formation energy from the elements: -0.4617 eV per atom

```
Tb2Sm3Ga4
1.0
4.4923 0.0000 0.0000
-2.2462 5.4071 0.4601
0.0000 -0.7159 9.6647
Tb Sm Ga
2 3 4
direct
0.3216 0.6432 0.2310
0.6784 0.3568 0.7690
0.3782 0.7564 0.6129
0.0000 0.0000 0.0000
0.6218 0.2436 0.3871
0.6954 0.3909 0.0739
0.0796 0.1592 0.6046
0.9204 0.8408 0.3955
0.3046 0.6091 0.9261
```

---

4.
VASP calculation (PBE) on a relaxed CaRhBr crystal.

## Properties
* calculated volume: 23.4 Å³ per atom
* raw formation energy: -0.77 eV per formula unit
* D(E_F): 3.1 states/eV per cell
* symmetry: No. 156
* energy relative to the lowest polymorph listed for this composition: 755 meV/atom

```
CaRhBr
1.0
3.6158 0.0000 0.0000
-1.8079 3.1314 0.0000
0.0000 0.0000 6.1918
Ca Rh Br
1 1 1
direct
0.6667 0.3333 0.3370
0.3333 0.6667 0.6641
0.0000 0.0000 0.9989
```

---

5.
VASP calculation (PBE) on a relaxed NaAg crystal.

## Properties
* calculated volume: 28.3 Å³ per atom
* D(E_F): 3.2 states/eV per cell
* symmetry: No. 225
* formation energy from the elements: 0.2235 eV per atom

```
NaAg
1.0
-1.2505 -5.0912 3.1022
0.2441 -3.2108 -5.1710
5.9569 -0.9372 0.8632
Na Ag
4 4
direct
0.0000 0.0000 0.0000
0.0000 0.5000 0.5000
0.5000 0.0000 0.5000
0.5000 0.5000 0.0000
0.5000 0.5000 0.5000
0.5000 0.0000 0.0000
0.0000 0.5000 0.0000
0.0000 0.0000 0.5000
```

---

6.
VASP calculation (PBE) on a relaxed La2Tm3Sn4 crystal.

## Properties
* calculated volume: 30.0 Å³ per atom
* D(E_F): 9.1 states/eV per cell
* symmetry: No. 64
* formation energy from the elements: -0.6682 eV per atom
* energy relative to the lowest polymorph listed for this composition: 132 meV/atom

```
La2Tm3Sn4
1.0
7.0395 0.0000 0.0000
0.0000 8.9104 0.0000
-3.5197 0.0000 8.6061
La Tm Sn
4 6 8
direct
0.1107 0.5876 0.2213
0.8893 0.4124 0.7787
0.3893 0.0876 0.7787
0.6107 0.9124 0.2213
0.0000 0.0000 0.0000
0.5000 0.5000 0.0000
0.5414 0.7500 0.5828
0.9586 0.2500 0.4172
0.4586 0.2500 0.4172
0.0414 0.7500 0.5828
0.7157 0.7500 0.9313
0.7843 0.2500 0.0687
0.2843 0.2500 0.0687
0.2157 0.7500 0.9313
0.1864 0.9468 0.3729
0.8136 0.0532 0.6271
0.3136 0.4468 0.6271
0.6864 0.5532 0.3729
```

---

7.
VASP calculation (PBE) on a relaxed CuNi6As crystal.

## Properties
* calculated volume: 11.3 Å³ per atom
* D(E_F): 38.4 states/eV per cell
* symmetry: No. 65
* formation energy from the elements: -0.0694 eV per atom

```
CuNi6As
1.0
6.1747 0.0145 0.0000
-2.0580 5.8217 0.0000
0.0000 0.0000 10.0719
Cu Ni As
4 24 4
direct
0.7475 0.2525 0.0000
0.2525 0.7475 0.0000
0.5000 0.5000 0.7526
0.5000 0.5000 0.2474
0.7484 0.2516 0.7500
0.1237 0.3753 0.8755
0.8763 0.6247 0.8755
0.2516 0.7484 0.7500
0.6247 0.8763 0.8755
0.3753 0.1237 0.8755
0.5000 0.5000 0.5000
0.8753 0.6274 0.6253
0.6274 0.8753 0.6253
0.7484 0.2516 0.2500
0.1247 0.3726 0.3747
0.8753 0.6274 0.3747
0.2516 0.7484 0.2500
0.6274 0.8753 0.3747
0.3726 0.1247 0.3747
0.5000 0.5000 0.0000
0.8763 0.6247 0.1245
0.6247 0.8763 0.1245
0.0000 0.0000 0.5000
0.3726 0.1247 0.6253
0.1247 0.3726 0.6253
0.0000 0.0000 0.0000
0.3753 0.1237 0.1245
0.1237 0.3753 0.1245
0.7472 0.2528 0.5000
0.2528 0.7472 0.5000
0.0000 0.0000 0.7569
0.0000 0.0000 0.2431
```

---

8.
VASP calculation (PBE) on a relaxed AcPmPrPu crystal.

## Properties
* calculated volume: 36.0 Å³ per atom
* D(E_F): 15.2 states/eV per cell
* symmetry: No. 216
* formation energy from the elements: 0.2477 eV per atom

```
AcPmPrPu
1.0
5.8822 0.0000 0.0000
2.9411 5.0942 0.0000
2.9411 1.6981 4.8028
Pr Ac Pm Pu
1 1 1 1
direct
0.2500 0.2500 0.2500
0.7500 0.7500 0.7500
0.0000 0.0000 0.0000
0.5000 0.5000 0.5000
```

---

9.
VASP calculation (PBE) on a relaxed ReW2 crystal.

## Properties
* calculated volume: 16.7 Å³ per atom
* D(E_F): 7.4 states/eV per cell
* symmetry: No. 140
* formation energy from the elements: 0.4072 eV per atom
* energy relative to the lowest polymorph listed for this composition: 358 meV/atom

```
ReW2
1.0
1.3023 -2.0921 4.5030
1.8111 4.5614 -1.5047
-5.0505 0.7973 0.4553
Re W
2 4
direct
0.2500 0.2500 0.0000
0.7500 0.7500 0.0000
0.8506 0.3506 0.2013
0.6494 0.8506 0.5000
0.3506 0.1494 0.5000
0.1494 0.6494 0.7987
```

---

10.
VASP calculation (PBE) on a relaxed Ni2Pt crystal.

## Properties
* calculated volume: 12.7 Å³ per atom
* D(E_F): 19.2 states/eV per cell
* symmetry: No. 6
* formation energy from the elements: -0.0626 eV per atom

```
Ni2Pt
1.0
3.6702 0.0000 0.0000
0.0000 7.4518 0.0056
0.0000 -1.8784 5.5523
Ni Pt
8 4
direct
0.0000 0.0028 0.0021
0.5000 0.0815 0.3304
0.0000 0.1732 0.6742
0.5000 0.2514 0.9966
0.5000 0.4092 0.6729
0.0000 0.4929 0.9900
0.0000 0.6642 0.6670
0.0000 0.8412 0.3339
0.0000 0.3208 0.3346
0.5000 0.5829 0.3345
0.5000 0.7493 0.9963
0.5000 0.9306 0.6676
```